VBiF2 | PBE+U | relaxed

Calculated values
Calculated volume = 91.2 Å³/f.u.
Magnetization = 2.76 μB/f.u.
E = -5.09 eV per atom

Cell: 6.0443 6.0443 6.5726 Å, 62.63 62.63 90.00°
Positions (direct):
F: 0.3771 0.6250 0.2500
F: 0.3750 0.6271 0.7500
F: 0.8750 0.6229 0.7500
F: 0.3729 0.1250 0.2500
V: 0.2500 0.7500 0.5000
V: 0.5000 0.5000 0.0000
Bi: 0.0000 0.0000 0.0000
Bi: 0.7500 0.2500 0.5000